The following is a DFT calculation (GGA-PBE) of a geometry-optimized Ac6Tl5Cd structure.

The structure in extended XYZ format:
```
12
Lattice="5.860 0.000 0.000 0.000 8.186 0.000 -2.898 0.000 8.799" Properties=species:S:1:pos:R:3 pbc="T T T"
Ac 0.000 2.037 0.000
Ac 0.000 6.149 0.000
Ac 0.021 2.027 5.869
Ac 0.021 6.159 5.869
Ac 2.941 2.027 2.930
Ac 2.941 6.159 2.930
Tl 0.009 0.000 2.876
Tl 0.011 4.093 2.941
Tl 2.930 4.093 0.000
Tl 2.951 4.093 5.858
Tl 2.952 0.000 5.923
Cd 2.930 0.000 0.000
```

Values from the calculation:
ΔE to the lowest computed polymorph (meV per atom): 0
Energy of formation (eV/atom): -0.34
DOS at the Fermi energy (states/eV/atom): 1.309